# PBE LiSmScGe, optimized geometry
data_LiSmScGe
_cell_length_a 6.9689
_cell_length_b 6.9689
_cell_length_c 6.9689
_cell_angle_alpha 90.00
_cell_angle_beta 90.00
_cell_angle_gamma 90.00
_space_group_name_H-M_alt 'F -4 3 m'
_space_group_IT_number 216
_space_group_name_Hall 'F -4 2 3'
loop_
_atom_site_label
_atom_site_type_symbol
_atom_site_fract_x
_atom_site_fract_y
_atom_site_fract_z
_atom_site_occupancy
Li1 Li 0.0000 0.0000 0.0000 1
Sm1 Sm 0.2500 0.2500 0.7500 1
Sc1 Sc 0.2500 0.2500 0.2500 1
Ge1 Ge 0.0000 0.0000 0.5000 1
# Theoretical density: 5.39 g/cm3
# Magnetization: 0.00 μB per formula unit
# N(E_F): 2.20 states/eV/f.u.
# Total energy: -4.815 eV per atom
# ΔE_f: -1.68 eV/f.u.